Model one:
DFT (GGA-PBE) results for Dy3Tm2Sc after structural relaxation.

Results
Calculated volume ... 366.5 Å³/cell
DOS at the Fermi energy ... 10.27 states/eV/f.u.

a b c (Å): 3.460 6.584 16.951
angles (deg): 80.26 84.14 74.77
Element x y z (fractional)
Dy: 0.067 0.035 0.831
Dy: 0.933 0.965 0.169
Dy: 0.627 0.734 0.012
Dy: 0.373 0.266 0.988
Dy: 0.740 0.857 0.663
Dy: 0.260 0.143 0.337
Tm: 0.802 0.562 0.834
Tm: 0.198 0.438 0.166
Tm: 0.631 0.236 0.503
Tm: 0.369 0.764 0.497
Sc: 0.461 0.394 0.685
Sc: 0.539 0.606 0.315

=====

Model two:
DFT (GGA-PBE) results for Dy3Tm2Sc after structural relaxation.

Results
Calculated volume ... 358.5 Å³/cell
DOS at the Fermi energy ... 8.94 states/eV/f.u.

a b c (Å): 7.028 6.094 9.302
angles (deg): 102.57 112.19 90.00
Element x y z (fractional)
Dy: 0.871 0.250 0.000
Dy: 0.129 0.750 0.000
Dy: 0.040 0.024 0.333
Dy: 0.707 0.476 0.667
Dy: 0.293 0.524 0.333
Dy: 0.960 0.976 0.667
Tm: 0.788 0.529 0.330
Tm: 0.542 0.029 0.330
Tm: 0.458 0.971 0.670
Tm: 0.212 0.471 0.670
Sc: 0.622 0.750 0.000
Sc: 0.378 0.250 0.000

=====

Most stable: model two

=====

Model one:
DFT (GGA-PBE) results for Dy2Tm5Sc4 after structural relaxation.

Results
Calculated volume ... 326.6 Å³/cell
DOS at the Fermi energy ... 16.70 states/eV/f.u.

a b c (Å): 3.414 7.442 16.795
angles (deg): 129.47 95.83 90.00
Element x y z (fractional)
Dy: 0.789 0.472 0.578
Dy: 0.211 0.528 0.422
Tm: 0.194 0.956 0.389
Tm: 0.806 0.044 0.611
Tm: 0.046 0.483 0.091
Tm: 0.500 0.000 0.000
Tm: 0.954 0.517 0.909
Sc: 0.379 0.550 0.759
Sc: 0.091 0.016 0.182
Sc: 0.621 0.450 0.241
Sc: 0.909 0.984 0.818

=====

Model two:
DFT (GGA-PBE) results for Dy2Tm5Sc4 after structural relaxation.

Results
Calculated volume ... 319.0 Å³/cell
DOS at the Fermi energy ... 16.01 states/eV/f.u.

a b c (Å): 3.480 8.620 10.675
angles (deg): 84.85 90.00 90.00
Element x y z (fractional)
Dy: 0.000 0.924 0.637
Dy: 0.000 0.076 0.363
Tm: 0.000 0.454 0.332
Tm: 0.000 0.852 0.133
Tm: 0.000 0.500 0.000
Tm: 0.000 0.148 0.867
Tm: 0.000 0.546 0.668
Sc: 0.500 0.250 0.574
Sc: 0.500 0.799 0.872
Sc: 0.500 0.750 0.426
Sc: 0.500 0.201 0.128

=====

Most stable: model two

=====

Model one:
DFT (GGA-PBE) results for Dy3Tm6Sc2 after structural relaxation.

Results
Calculated volume ... 343.0 Å³/cell
DOS at the Fermi energy ... 18.65 states/eV/f.u.

a b c (Å): 4.654 4.654 16.175
angles (deg): 98.27 98.27 90.00
Element x y z (fractional)
Dy: 0.000 0.000 0.000
Dy: 0.800 0.800 0.601
Dy: 0.200 0.200 0.399
Tm: 0.116 0.617 0.233
Tm: 0.616 0.117 0.233
Tm: 0.884 0.383 0.767
Tm: 0.384 0.883 0.767
Tm: 0.693 0.693 0.386
Tm: 0.307 0.307 0.614
Sc: 0.456 0.456 0.912
Sc: 0.544 0.544 0.088

=====

Model two:
DFT (GGA-PBE) results for Dy3Tm6Sc2 after structural relaxation.

Results
Calculated volume ... 322.5 Å³/cell
DOS at the Fermi energy ... 16.38 states/eV/f.u.

a b c (Å): 3.471 3.471 30.976
angles (deg): 86.79 86.79 60.00
Element x y z (fractional)
Dy: 0.000 0.000 0.000
Dy: 0.729 0.729 0.814
Dy: 0.271 0.271 0.186
Tm: 0.907 0.907 0.280
Tm: 0.093 0.093 0.720
Tm: 0.818 0.818 0.546
Tm: 0.182 0.182 0.454
Tm: 0.636 0.636 0.093
Tm: 0.364 0.364 0.907
Sc: 0.544 0.544 0.367
Sc: 0.456 0.456 0.633

=====

Most stable: model two

=====

Model one:
DFT (GGA-PBE) results for Dy5Tm4Sc after structural relaxation.

Results
Calculated volume ... 300.7 Å³/cell
DOS at the Fermi energy ... 12.72 states/eV/f.u.

a b c (Å): 6.992 9.234 4.927
angles (deg): 105.46 89.87 79.16
Element x y z (fractional)
Dy: 0.400 0.599 0.799
Dy: 0.997 0.198 0.599
Dy: 0.096 0.802 0.401
Dy: 0.700 0.397 0.199
Dy: 0.300 0.001 0.000
Tm: 0.897 0.603 0.802
Tm: 0.502 0.197 0.598
Tm: 0.600 0.803 0.401
Tm: 0.198 0.401 0.200
Sc: 0.799 0.000 0.000

=====

Model two:
DFT (GGA-PBE) results for Dy5Tm4Sc after structural relaxation.

Results
Calculated volume ... 312.8 Å³/cell
DOS at the Fermi energy ... 12.75 states/eV/f.u.

a b c (Å): 5.700 7.938 7.938
angles (deg): 82.59 68.96 68.96
Element x y z (fractional)
Dy: 0.771 0.374 0.000
Dy: 0.145 0.000 0.626
Dy: 0.771 0.000 0.374
Dy: 0.145 0.626 0.000
Dy: 0.675 0.000 0.000
Tm: 0.449 0.323 0.676
Tm: 0.772 0.676 0.677
Tm: 0.125 0.324 0.323
Tm: 0.449 0.677 0.324
Sc: 0.208 0.000 0.000

=====

Most stable: model one